Entry 1:
{
  "formula": "NaLaAu2",
  "functional": "PBE",
  "state": "relaxed",
  "magmom_total_mub_per_atom": 0.000,
  "e_form_mev_per_atom": -306.8,
  "lattice_angstrom": [[7.911, 0.000, 0.000], [0.000, 7.911, 0.000], [3.955, 3.955, 3.435]],
  "species": ["Na", "Na", "Au", "Au", "Au", "Au", "La", "La"],
  "frac_coords": [[0.500, 0.500, 0.000], [0.250, 0.750, 0.500], [0.611, 0.125, 0.250], [0.139, 0.625, 0.250], [0.375, 0.389, 0.750], [0.875, 0.861, 0.750], [0.000, 0.000, 0.000], [0.750, 0.250, 0.500]]
}

Entry 2:
{
  "formula": "La2AlW",
  "functional": "PBE",
  "state": "relaxed",
  "magmom_total_mub_per_atom": 0.001,
  "e_form_mev_per_atom": 369.7,
  "lattice_angstrom": [[5.543, -0.002, 0.000], [1.700, 5.276, 0.000], [-3.622, -2.637, 3.264]],
  "species": ["Al", "W", "La", "La"],
  "frac_coords": [[0.750, 0.250, 0.500], [0.500, 0.500, 0.000], [0.000, 0.000, 0.000], [0.250, 0.750, 0.500]]
}

Entry 3:
{
  "formula": "KSiNi2",
  "functional": "PBE",
  "state": "relaxed",
  "formation_energy_uncorrected_mev_per_atom": -192,
  "magmom_total_mub_per_atom": 0.000,
  "lattice_angstrom": [[-2.110, 3.819, -4.642], [-2.058, 0.073, -6.028], [-5.044, 1.289, -3.671]],
  "species": ["K", "Ni", "Ni", "Si"],
  "frac_coords": [[0.750, 0.750, 0.750], [0.934, 0.934, 0.934], [0.566, 0.566, 0.566], [0.250, 0.250, 0.250]]
}

Entry 4:
{
  "formula": "CaZr2In",
  "functional": "PBE",
  "state": "relaxed",
  "magmom_total_mub_per_atom": 0.000,
  "e_form_mev_per_atom": 39.8,
  "lattice_angstrom": [[5.705, -0.164, 0.000], [2.218, 5.259, 0.000], [-3.962, -2.547, 3.224]],
  "species": ["Ca", "Zr", "Zr", "In"],
  "frac_coords": [[0.500, 0.500, 0.000], [0.000, 0.000, 0.000], [0.250, 0.750, 0.500], [0.750, 0.250, 0.500]]
}

Total DFT energy (no corrections) for the records above, in order: -28.057, -25.072, -18.849, -21.677 eV for the cell shown